1.
An optimized crystal structure of YSc2CCl. Source: the Alexandria database, functional PBE.

Values from the calculation:
As for the total energy: -4.954 eV per atom. The total magnetization comes out at 0.00 μB per cell. The calculation puts the density of states at the Fermi level at 4.15 states/eV per cell. As for the crystal system: tetragonal. For the raw formation energy, the calculation gives 1085 meV per atom.

abc: 5.6202 5.6202 4.2350
angles: 90.00 90.00 90.00
Last column: nearest neighbours and their distance in Å.
Space group P4/mmm (No. 123)
Symmetry-distinct sites (fractional):
Y 0.0000 0.0000 0.0000  2 C 2.12
Sc 0.0000 0.5000 0.0000  2 Y 2.81
C 0.0000 0.0000 0.5000  2 Y 2.12
Cl 0.5000 0.5000 0.5000  8 Sc 3.52

---

2.
An optimized crystal structure of Sc2ZnCCl. Source: the Alexandria database, functional PBE.

Values from the calculation:
As for the total energy: -4.618 eV per atom. The total magnetization comes out at 1.10 μB per cell. The calculation puts the density of states at the Fermi level at 4.54 states/eV per cell. As for the crystal system: tetragonal. For the raw formation energy, the calculation gives 384 meV per atom.

abc: 5.1375 5.1375 3.5727
angles: 90.00 90.00 90.00
Last column: nearest neighbours and their distance in Å.
Space group P4/mmm (No. 123)
Symmetry-distinct sites (fractional):
Sc 0.0000 0.5000 0.0000  2 Zn 2.57
Zn 0.0000 0.0000 0.0000  2 C 1.79
C 0.0000 0.0000 0.5000  2 Zn 1.79
Cl 0.5000 0.5000 0.5000  8 Sc 3.13

---

3.
An optimized crystal structure of CSeCl2. Source: the Alexandria database, functional PBE.

Values from the calculation:
As for the total energy: -2.943 eV per atom. The total magnetization comes out at 0.00 μB per cell. The calculation puts the density of states at the Fermi level at 4.55 states/eV per cell. As for the crystal system: trigonal. For the raw formation energy, the calculation gives 1157 meV per atom.

abc: 3.0640 3.0640 28.4453
angles: 90.00 90.00 120.00
Last column: nearest neighbours and their distance in Å.
Space group R-3m (No. 166, hexagonal axes)
Symmetry-distinct sites (fractional):
C 0.0000 0.0000 0.0000  2 Cl 1.59
Se 0.0000 0.0000 0.5000  6 Se 3.06
Cl 0.0000 0.0000 0.0560  1 C 1.59

---

4.
An optimized crystal structure of CSeCl. Source: the Alexandria database, functional PBE.

Values from the calculation:
As for the total energy: -4.050 eV per atom. The total magnetization comes out at 0.00 μB per cell. The calculation puts the density of states at the Fermi level at 11.95 states/eV per cell. As for the crystal system: orthorhombic. For the raw formation energy, the calculation gives 802 meV per atom.

abc: 5.9144 11.5480 6.5862
angles: 90.00 90.00 90.00
Last column: nearest neighbours and their distance in Å.
Space group Cmce (No. 64)
Symmetry-distinct sites (fractional):
C 0.0000 0.0220 0.0934  1 C 1.33
Se 0.2500 0.1078 0.2500  2 C 2.06
Cl 0.0000 0.1941 0.6096  4 Se 2.88-2.96, 1 C 3.17

---

5.
An optimized crystal structure of C2SeCl. Source: the Alexandria database, functional PBE.

Values from the calculation:
As for the total energy: -3.090 eV per atom. The total magnetization comes out at 0.00 μB per cell. The calculation puts the density of states at the Fermi level at 7.21 states/eV per cell. As for the energy above the lowest structure with this stoichiometry: 583 meV/atom. As for the crystal system: cubic. For the raw formation energy, the calculation gives 2855 meV per atom.

abc: 5.9442 5.9442 5.9442
angles: 90.00 90.00 90.00
Last column: nearest neighbours and their distance in Å.
Space group Fm-3m (No. 225)
Symmetry-distinct sites (fractional):
C 0.2500 0.2500 0.2500  4 Cl 2.57, 4 Se 2.57
Se 0.0000 0.0000 0.0000  8 C 2.57
Cl 0.0000 0.0000 0.5000  8 C 2.57

---

6.
An optimized crystal structure of C3SeCl. Source: the Alexandria database, functional PBE.

Values from the calculation:
As for the total energy: -3.373 eV per atom. The total magnetization comes out at 0.00 μB per cell. The calculation puts the density of states at the Fermi level at 4.12 states/eV per cell. As for the energy above the lowest structure with this stoichiometry: 0 meV/atom. As for the crystal system: cubic. For the raw formation energy, the calculation gives 3227 meV per atom.

abc: 4.0257 4.0257 4.0257
angles: 90.00 90.00 90.00
Last column: nearest neighbours and their distance in Å.
Space group Pm-3m (No. 221)
Symmetry-distinct sites (fractional):
C 0.0000 0.0000 0.5000  2 Se 2.01
Se 0.0000 0.0000 0.0000  6 C 2.01
Cl 0.5000 0.5000 0.5000  12 C 2.85

---

7.
An optimized crystal structure of CSeCl3. Source: the Alexandria database, functional PBE.

Values from the calculation:
As for the total energy: -2.389 eV per atom. The total magnetization comes out at 1.06 μB per cell. The calculation puts the density of states at the Fermi level at 4.87 states/eV per cell. As for the energy above the lowest structure with this stoichiometry: 0 meV/atom. As for the crystal system: cubic. For the raw formation energy, the calculation gives 1260 meV per atom.

abc: 4.4856 4.4856 4.4856
angles: 90.00 90.00 90.00
Last column: nearest neighbours and their distance in Å.
Space group Pm-3m (No. 221)
Symmetry-distinct sites (fractional):
C 0.0000 0.0000 0.0000  6 Cl 2.24
Se 0.5000 0.5000 0.5000  12 Cl 3.17
Cl 0.0000 0.0000 0.5000  2 C 2.24

---

8.
An optimized crystal structure of CSeCl2. Source: the Alexandria database, functional PBE.

Values from the calculation:
As for the total energy: -2.760 eV per atom. The total magnetization comes out at 16.00 μB per cell. The calculation puts the density of states at the Fermi level at 11.15 states/eV per cell. As for the crystal system: cubic. For the raw formation energy, the calculation gives 1341 meV per atom.

abc: 9.1746 9.1746 9.1746
angles: 90.00 90.00 90.00
Last column: nearest neighbours and their distance in Å.
Space group Fd-3m (No. 227, origin choice 2)
Symmetry-distinct sites (fractional):
C 0.1250 0.1250 0.1250  4 Cl 1.99
Se 0.1250 0.1250 0.6250  12 Cl 3.80, 4 Se 3.97, 4 C 3.97
Cl 0.0000 0.0000 0.0000  2 C 1.99

---

9.
An optimized crystal structure of CSeCl3. Source: the Alexandria database, functional PBE.

Values from the calculation:
As for the total energy: -2.236 eV per atom. The total magnetization comes out at 1.70 μB per cell. The calculation puts the density of states at the Fermi level at 8.40 states/eV per cell. As for the energy above the lowest structure with this stoichiometry: 154 meV/atom. As for the crystal system: cubic. For the raw formation energy, the calculation gives 1414 meV per atom.

abc: 5.0190 5.0190 5.0190
angles: 90.00 90.00 90.00
Last column: nearest neighbours and their distance in Å.
Space group Pm-3m (No. 221)
Symmetry-distinct sites (fractional):
C 0.0000 0.0000 0.0000  12 Cl 3.55
Se 0.5000 0.5000 0.5000  6 Cl 2.51
Cl 0.0000 0.5000 0.5000  2 Se 2.51

---

10.
An optimized crystal structure of CSeCl2. Source: the Alexandria database, functional PBE.

Values from the calculation:
As for the total energy: -2.063 eV per atom. The total magnetization comes out at 0.00 μB per cell. The calculation puts the density of states at the Fermi level at 12.21 states/eV per cell. As for the crystal system: cubic. For the raw formation energy, the calculation gives 2037 meV per atom.

abc: 6.5429 6.5429 6.5429
angles: 90.00 90.00 90.00
Last column: nearest neighbours and their distance in Å.
Space group Fm-3m (No. 225)
Symmetry-distinct sites (fractional):
C 0.0000 0.0000 0.0000  8 Cl 2.83
Se 0.0000 0.0000 0.5000  8 Cl 2.83
Cl 0.2500 0.2500 0.2500  4 Se 2.83, 4 C 2.83

---

11.
An optimized crystal structure of C3SeCl. Source: the Alexandria database, functional PBE.

Values from the calculation:
As for the total energy: -3.049 eV per atom. The total magnetization comes out at 0.00 μB per cell. The calculation puts the density of states at the Fermi level at 3.83 states/eV per cell. As for the energy above the lowest structure with this stoichiometry: 324 meV/atom. As for the crystal system: cubic. For the raw formation energy, the calculation gives 3551 meV per atom.

abc: 3.9175 3.9175 3.9175
angles: 90.00 90.00 90.00
Last column: nearest neighbours and their distance in Å.
Space group Pm-3m (No. 221)
Symmetry-distinct sites (fractional):
C 0.0000 0.0000 0.5000  2 Cl 1.96
Se 0.5000 0.5000 0.5000  12 C 2.77
Cl 0.0000 0.0000 0.0000  6 C 1.96

---

12.
An optimized crystal structure of CSe3Cl. Source: the Alexandria database, functional PBE.

Values from the calculation:
As for the total energy: -3.112 eV per atom. The total magnetization comes out at 0.00 μB per cell. The calculation puts the density of states at the Fermi level at 2.99 states/eV per cell. As for the energy above the lowest structure with this stoichiometry: 0 meV/atom. As for the crystal system: cubic. For the raw formation energy, the calculation gives 1193 meV per atom.

abc: 4.4941 4.4941 4.4941
angles: 90.00 90.00 90.00
Last column: nearest neighbours and their distance in Å.
Space group Pm-3m (No. 221)
Symmetry-distinct sites (fractional):
C 0.0000 0.0000 0.0000  6 Se 2.25
Se 0.0000 0.0000 0.5000  2 C 2.25
Cl 0.5000 0.5000 0.5000  12 Se 3.18